The following is a PBE-GGA calculation of MgSiW after structural relaxation, from Alexandria.

Cell and atoms, written as POSCAR:
```
MgSiW
1.0
0.000 3.054 3.054
3.054 0.000 3.054
3.054 3.054 0.000
Mg Si W
1 1 1
direct
0.000 0.000 0.000 Mg
0.500 0.500 0.500 Si
0.250 0.250 0.250 W
```

Properties
The calculation puts the formation energy without anion corrections at 837 meV per atom. The value obtained for the electronic total energy is -17.46 eV per cell. As for the spin magnetization: 0.5107 μB per atom. The calculation puts the volume at 56.94 Å³/cell. Its symmetry is F-43m, No. 216.